DFT (PBE with a Hubbard U) results for an optimized crystal structure of NaMn2AgF8.

## Properties
Space group ... I-4m2 (119)
Magnetic moment ... 7.90 μB per formula unit
Calculated total energy ... -5.06 eV per atom
Density ... 3.8 g/cm3

Unit cell a=6.1325 b=6.1325 c=6.1325 alpha=116.79 beta=116.79 gamma=95.66
With the nearest neighbours (Å) after each atom.
Fractional coordinates of all 12 atoms:
Na: 0.0000 0.0000 0.0000  4 F 2.24
Mn: 0.7500 0.2500 0.5000  4 F 1.88
Mn: 0.5000 0.5000 0.0000  4 F 1.88
Ag: 0.2500 0.7500 0.5000  4 F 2.29
F: 0.4270 0.2156 0.2114  1 Mn 1.88
F: 0.4758 0.7665 0.2908  1 Mn 1.88
F: 0.4758 0.1850 0.7092  1 Mn 1.88
F: 0.0042 0.2156 0.7886  1 Mn 1.88
F: 0.8150 0.5242 0.2908  1 Mn 1.88
F: 0.7844 0.9958 0.2114  1 Mn 1.88
F: 0.7844 0.5730 0.7886  1 Mn 1.88
F: 0.2335 0.5242 0.7092  1 Mn 1.88